# BaHg6Bi

A geometry-optimized BaHg6Bi structure (PBE, Alexandria).

a b c (Å): 6.2359 6.2359 6.2359
angles (deg): 90.00 90.00 90.00
Atoms (fractional coordinates):
Ba1 0.0000 0.0000 0.0000
Hg1 0.0000 0.2603 0.5000
Hg2 0.0000 0.7397 0.5000
Hg3 0.2603 0.5000 0.0000
Hg4 0.5000 0.0000 0.2603
Hg5 0.5000 0.0000 0.7397
Hg6 0.7397 0.5000 0.0000
Bi1 0.5000 0.5000 0.5000

Values from the calculation:
Space-group type: Pm-3 (200)
DFT formation energy in meV/atom: -128
Energy above the most stable polymorph in this dataset in meV/atom: 95